No. 1
DFT (GGA-PBEsol) results for a relaxed structure of BaBeAu2.

a = 3.859 Å, b = 4.881 Å, c = 4.881 Å
α = 90.00°, β = 90.00°, γ = 90.00°
Positions (direct):
Be  0.500  0.000  0.000
Au  0.000  0.000  0.500
Au  0.000  0.500  0.000
Ba  0.500  0.500  0.500

Computed properties:
Its space group is No. 123. The value obtained for the volume is 23.0 Å³/atom. The calculated total energy comes out at -3.256 eV per atom. The mass density is 9.8 g cm⁻³.

No. 2
DFT (GGA-PBEsol) results for a relaxed structure of BaBeP2Au.

a = 4.289 Å, b = 4.289 Å, c = 6.027 Å
α = 90.00°, β = 90.00°, γ = 90.00°
Positions (direct):
P  0.000  0.500  0.000
P  0.500  0.000  0.000
Au  0.500  0.500  0.500
Ba  0.000  0.000  0.500
Be  0.000  0.000  0.000

Computed properties:
Its space group is No. 123. The value obtained for the volume is 22.2 Å³/atom. The calculated total energy comes out at -4.170 eV per atom. The mass density is 6.1 g cm⁻³.

No. 3
DFT (GGA-PBEsol) results for a relaxed structure of BaBeW2Au.

a = 4.388 Å, b = 5.066 Å, c = 5.066 Å
α = 90.00°, β = 90.00°, γ = 90.00°
Site moments in Bohr magnetons follow the coordinates.
Positions (direct):
Be  0.500  0.000  0.000  -0.02
Au  0.000  0.000  0.000  0.03
Ba  0.500  0.500  0.500  0.07
W  0.000  0.000  0.500  0.83
W  0.000  0.500  0.000  0.83

Computed properties:
Its space group is No. 123. The value obtained for the volume is 22.5 Å³/atom. The calculated total energy comes out at -5.765 eV per atom. The mass density is 10.5 g cm⁻³.

No. 4
DFT (GGA-PBEsol) results for a relaxed structure of BaBi3Au.

a = 6.155 Å, b = 6.155 Å, c = 6.155 Å
α = 90.00°, β = 90.00°, γ = 90.00°
Positions (direct):
Au  0.500  0.500  0.500
Bi  0.000  0.500  0.000
Bi  0.000  0.000  0.500
Bi  0.500  0.000  0.000
Ba  0.000  0.000  0.000

Computed properties:
Its space group is No. 221. The value obtained for the volume is 46.6 Å³/atom. The calculated total energy comes out at -2.500 eV per atom. The mass density is 6.8 g cm⁻³.

No. 5
DFT (GGA-PBEsol) results for a relaxed structure of Ba2BiAu2.

a = 4.082 Å, b = 8.702 Å, c = 8.702 Å
α = 90.00°, β = 90.00°, γ = 90.00°
Positions (direct):
Au  0.000  0.386  0.886
Au  0.000  0.886  0.614
Au  0.000  0.614  0.114
Au  0.000  0.114  0.386
Bi  0.000  0.000  0.000
Bi  0.000  0.500  0.500
Ba  0.500  0.181  0.681
Ba  0.500  0.681  0.819
Ba  0.500  0.819  0.319
Ba  0.500  0.319  0.181

Computed properties:
Its space group is No. 127. The value obtained for the volume is 30.9 Å³/atom. The calculated total energy comes out at -3.971 eV per atom. The mass density is 9.4 g cm⁻³.

No. 6
DFT (GGA-PBEsol) results for a relaxed structure of BaBi2Au2.

a = 5.168 Å, b = 5.168 Å, c = 6.578 Å
α = 113.13°, β = 113.13°, γ = 90.00°
Positions (direct):
Au  0.250  0.750  0.500
Au  0.750  0.250  0.500
Bi  0.361  0.361  0.723
Bi  0.639  0.639  0.277
Ba  0.000  0.000  0.000

Computed properties:
Its space group is No. 139. The value obtained for the volume is 29.2 Å³/atom. The calculated total energy comes out at -4.130 eV per atom. The mass density is 10.8 g cm⁻³.

No. 7
DFT (GGA-PBEsol) results for a relaxed structure of Ba2BiAu.

a = 6.724 Å, b = 6.724 Å, c = 10.137 Å
α = 109.37°, β = 109.37°, γ = 90.00°
Positions (direct):
Au  0.750  0.250  0.500
Au  0.500  0.500  0.000
Bi  0.250  0.750  0.500
Bi  0.000  0.000  0.000
Ba  0.394  0.875  0.250
Ba  0.856  0.375  0.250
Ba  0.125  0.144  0.750
Ba  0.625  0.606  0.750

Computed properties:
Its space group is No. 122. The value obtained for the volume is 50.6 Å³/atom. The calculated total energy comes out at -3.481 eV per atom. The mass density is 5.6 g cm⁻³.

No. 8
DFT (GGA-PBEsol) results for a relaxed structure of BaAuBr2.

a = 4.227 Å, b = 4.995 Å, c = 5.094 Å
α = 90.00°, β = 90.00°, γ = 90.00°
Positions (direct):
Au  0.500  0.500  0.000
Ba  0.500  0.000  0.500
Br  0.000  0.000  0.000
Br  0.000  0.500  0.500

Computed properties:
Its space group is No. 47. The value obtained for the volume is 26.9 Å³/atom. For the raw formation energy, the calculation gives -1050.1 meV/atom. The calculated total energy comes out at -3.503 eV per atom. The mass density is 7.6 g cm⁻³.

No. 9
DFT (GGA-PBEsol) results for a relaxed structure of Ba3AuBr.

a = 6.037 Å, b = 6.037 Å, c = 6.037 Å
α = 90.00°, β = 90.00°, γ = 90.00°
Positions (direct):
Au  0.500  0.500  0.500
Ba  0.000  0.500  0.000
Ba  0.000  0.000  0.500
Ba  0.500  0.000  0.000
Br  0.000  0.000  0.000

Computed properties:
Its space group is No. 221. The value obtained for the volume is 44.0 Å³/atom. For the raw formation energy, the calculation gives -375.7 meV/atom. The calculated total energy comes out at -2.824 eV per atom. The mass density is 5.2 g cm⁻³.

No. 10
DFT (GGA-PBEsol) results for a relaxed structure of Ba2AuBr.

a = 4.557 Å, b = 4.557 Å, c = 8.720 Å
α = 74.85°, β = 74.85°, γ = 60.00°
Positions (direct):
Au  0.500  0.500  0.500
Ba  0.759  0.759  0.723
Ba  0.241  0.241  0.277
Br  0.000  0.000  0.000

Computed properties:
Its space group is No. 166. The value obtained for the volume is 37.4 Å³/atom. For the raw formation energy, the calculation gives -1153.1 meV/atom. The calculated total energy comes out at -3.676 eV per atom. The mass density is 6.1 g cm⁻³.

No. 11
DFT (GGA-PBEsol) results for a relaxed structure of Ba2AuBr.

a = 4.664 Å, b = 4.664 Å, c = 6.667 Å
α = 90.00°, β = 90.00°, γ = 90.00°
Site moments in Bohr magnetons follow the coordinates.
Positions (direct):
Au  0.500  0.500  0.500  0.02
Ba  0.500  0.500  0.000  0.06
Ba  0.000  0.000  0.500  0.05
Br  0.000  0.000  0.000  0.00

Computed properties:
Its space group is No. 123. The value obtained for the volume is 36.3 Å³/atom. For the raw formation energy, the calculation gives -1096.7 meV/atom. The calculated total energy comes out at -3.620 eV per atom. The mass density is 6.3 g cm⁻³.

No. 12
DFT (GGA-PBEsol) results for a relaxed structure of Ba2AuBr.

a = 5.256 Å, b = 5.695 Å, c = 5.695 Å
α = 65.85°, β = 62.52°, γ = 62.52°
Positions (direct):
Au  0.000  0.500  0.500
Ba  0.254  0.746  0.746
Ba  0.746  0.254  0.254
Br  0.500  0.000  0.000

Computed properties:
Its space group is No. 71. The value obtained for the volume is 32.5 Å³/atom. For the raw formation energy, the calculation gives -982.4 meV/atom. The calculated total energy comes out at -3.505 eV per atom. The mass density is 7.0 g cm⁻³.

| no. | spin magnetization (μB per formula unit) |
| --- | --- |
| 1 | 0.0 |
| 2 | 0.0 |
| 3 | 2.2 |
| 4 | 0.0 |
| 5 | 0.0 |
| 6 | 0.0 |
| 7 | 0.0 |
| 8 | 0.0 |
| 9 | 0.2 |
| 10 | 0.0 |
| 11 | 0.5 |
| 12 | 0.0 |